The following is a PBE-GGA calculation of LaTaB3 after structural relaxation, from Alexandria via LeMat-Bulk.

Geometry as extended XYZ:
```
5
Lattice="4.315 0.000 0.000 0.000 4.315 0.000 0.000 0.000 4.315" Properties=species:S:1:pos:R:3 pbc="T T T"
La 0.000 0.000 0.000
Ta 2.158 2.158 2.158
B 0.000 0.000 2.158
B 0.000 2.158 0.000
B 2.158 0.000 0.000
```

## Properties
calculated formation energy	233	kJ/mol of atoms
space-group type	Pm-3m, No. 221

***

The following is a PBE-GGA calculation of PrSm2Cd4 after structural relaxation, from Alexandria via LeMat-Bulk.

Geometry as extended XYZ:
```
14
Lattice="5.403 0.000 0.000 0.000 5.403 0.000 0.000 0.000 14.423" Properties=species:S:1:pos:R:3 pbc="T T T"
Pr 0.000 0.000 0.000
Pr 2.701 2.701 7.211
Sm 0.000 0.000 3.749
Sm 0.000 0.000 10.674
Sm 2.701 2.701 3.462
Sm 2.701 2.701 10.961
Cd 0.000 2.701 1.688
Cd 0.000 2.701 5.523
Cd 0.000 2.701 8.900
Cd 0.000 2.701 12.735
Cd 2.701 0.000 1.688
Cd 2.701 0.000 5.523
Cd 2.701 0.000 8.900
Cd 2.701 0.000 12.735
```

## Properties
calculated formation energy	-15	kJ/mol of atoms
space-group type	I4/mmm, No. 139

***

The following is a PBE-GGA calculation of Ac2Pr7Sm after structural relaxation, from Alexandria via LeMat-Bulk.

Geometry as extended XYZ:
```
10
Lattice="3.465 -15.178 0.000 3.465 15.178 0.000 0.000 0.000 3.630" Properties=species:S:1:pos:R:3 pbc="T T T"
Ac 3.465 8.943 0.000
Ac 3.465 -8.943 0.000
Pr 0.000 0.000 0.000
Pr 1.777 2.925 0.000
Pr 3.465 5.600 1.815
Pr 1.777 -2.925 0.000
Pr 5.154 2.925 0.000
Pr 3.465 -5.600 1.815
Pr 5.154 -2.925 0.000
Sm 3.465 0.000 1.815
```

## Properties
calculated formation energy	14	kJ/mol of atoms
space-group type	Cmmm, No. 65

***

The following is a PBE-GGA calculation of ZrBiAuBr2 after structural relaxation, from Alexandria via LeMat-Bulk.

Geometry as extended XYZ:
```
5
Lattice="5.767 0.000 0.000 0.000 5.767 0.000 0.000 0.000 5.414" Properties=species:S:1:pos:R:3 pbc="T T T"
Zr 0.000 0.000 0.000
Bi 2.883 2.883 2.707
Au 2.883 2.883 0.000
Br 0.000 2.883 2.707
Br 2.883 0.000 2.707
```

## Properties
formation energy without anion corrections	59.26	kJ per mole of atoms
space-group type	P4/mmm, No. 123

***

The following is a PBE-GGA calculation of CsPrWN3 after structural relaxation, from Alexandria via LeMat-Bulk.

Geometry as extended XYZ:
```
12
Lattice="7.039 -1.984 0.000 7.039 1.984 0.000 -2.222 0.000 8.536" Properties=species:S:1:pos:R:3 pbc="T T T"
Cs 1.843 0.000 0.567
Cs 10.012 0.000 7.969
Pr 0.985 0.000 5.031
Pr 10.870 0.000 3.505
W 5.432 0.000 5.615
W 6.423 0.000 2.920
N -0.597 0.000 3.058
N 3.449 0.000 5.369
N 4.744 0.000 1.995
N 7.111 0.000 6.541
N 8.406 0.000 3.167
N 12.452 0.000 5.478
```

## Properties
formation energy without anion corrections	-49.87	kJ per mole of atoms
space-group type	C2/m, No. 12

***

The following is a PBE-GGA calculation of YP2RuCl after structural relaxation, from Alexandria via LeMat-Bulk.

Geometry as extended XYZ:
```
5
Lattice="5.309 0.000 0.000 0.000 5.309 0.000 0.000 0.000 5.060" Properties=species:S:1:pos:R:3 pbc="T T T"
Y 0.000 0.000 0.000
P 0.000 2.654 0.000
P 2.654 0.000 0.000
Ru 2.654 2.654 2.530
Cl 0.000 0.000 2.530
```

## Properties
formation energy without anion corrections	76.50	kJ per mole of atoms
space-group type	P4/mmm, No. 123

***

The following is a PBE-GGA calculation of Ag2WBr after structural relaxation, from Alexandria via LeMat-Bulk.

Geometry as extended XYZ:
```
12
Lattice="2.980 0.000 0.000 -1.490 2.581 0.000 0.000 0.000 29.494" Properties=species:S:1:pos:R:3 pbc="T T T"
Ag 0.000 0.000 7.236
Ag 0.000 0.000 22.259
Ag 0.000 1.721 12.427
Ag 0.000 1.721 26.898
Ag 1.490 0.860 2.596
Ag 1.490 0.860 17.067
W 0.000 0.000 14.747
W 0.000 1.721 4.916
W 1.490 0.860 24.578
Br 0.000 0.000 0.000
Br 0.000 1.721 19.663
Br 1.490 0.860 9.831
```

## Properties
formation energy without anion corrections	55.85	kJ per mole of atoms
space-group type	R-3m, No. 166

***

The following is a PBE-GGA calculation of Zn2WBr after structural relaxation, from Alexandria via LeMat-Bulk.

Geometry as extended XYZ:
```
8
Lattice="5.613 0.000 0.000 0.000 8.316 0.000 0.000 0.000 2.920" Properties=species:S:1:pos:R:3 pbc="T T T"
Zn 1.403 2.079 0.000
Zn 1.403 6.237 0.000
Zn 4.209 2.079 0.000
Zn 4.209 6.237 0.000
W 0.000 0.000 1.460
W 2.806 4.158 1.460
Br 0.000 4.158 1.460
Br 2.806 0.000 1.460
```

## Properties
formation energy without anion corrections	57.17	kJ per mole of atoms
space-group type	Cmmm, No. 65

***

The following is a PBE-GGA calculation of LiCa2YTl4 after structural relaxation, from Alexandria via LeMat-Bulk.

Geometry as extended XYZ:
```
8
Lattice="2.669 1.541 8.822 -2.669 1.541 8.822 0.000 -3.082 8.822" Properties=species:S:1:pos:R:3 pbc="T T T"
Li 0.000 0.000 0.000
Ca 0.000 0.000 6.685
Ca 0.000 0.000 19.782
Y 0.000 0.000 13.233
Tl 0.000 0.000 3.240
Tl 0.000 0.000 9.892
Tl 0.000 0.000 16.574
Tl 0.000 0.000 23.226
```

## Properties
calculated formation energy	-34	kJ/mol of atoms
space-group type	R-3m, No. 166

***

The following is a PBE-GGA calculation of La3CdOs after structural relaxation, from Alexandria via LeMat-Bulk.

Geometry as extended XYZ:
```
5
Lattice="5.597 0.000 0.000 0.000 5.597 0.000 0.000 0.000 5.597" Properties=species:S:1:pos:R:3 pbc="T T T"
La 0.000 0.000 2.798
La 0.000 2.798 0.000
La 2.798 0.000 0.000
Cd 2.798 2.798 2.798
Os 0.000 0.000 0.000
```

## Properties
calculated formation energy	-13	kJ/mol of atoms
space-group type	Pm-3m, No. 221

***

The following is a PBE-GGA calculation of RbNa2InS after structural relaxation, from Alexandria via LeMat-Bulk.

Geometry as extended XYZ:
```
5
Lattice="5.729 0.000 0.000 0.000 5.729 0.000 0.000 0.000 6.709" Properties=species:S:1:pos:R:3 pbc="T T T"
Rb 0.000 0.000 0.000
Na 0.000 2.865 3.354
Na 2.865 0.000 3.354
In 0.000 0.000 3.354
S 2.865 2.865 0.000
```

## Properties
formation energy without anion corrections	25.52	kJ per mole of atoms
space-group type	P4/mmm, No. 123

***

The following is a PBE-GGA calculation of Ac3HPd8 after structural relaxation, from Alexandria via LeMat-Bulk.

Geometry as extended XYZ:
```
12
Lattice="5.623 0.000 0.000 -2.812 4.870 0.000 0.000 0.000 9.209" Properties=species:S:1:pos:R:3 pbc="T T T"
Ac 0.000 0.000 0.000
Ac 0.000 0.000 3.638
Ac 2.812 1.623 5.555
H 2.812 1.623 1.201
Pd -1.397 2.440 2.021
Pd 0.000 1.622 6.588
Pd -1.407 4.059 6.588
Pd 0.000 3.247 4.300
Pd 0.000 3.247 8.903
Pd 1.397 2.440 2.021
Pd 0.000 4.860 2.021
Pd 1.407 4.059 6.588
```

## Properties
space-group type	P3m1, No. 156

***

The following is a PBE-GGA calculation of SrZrOs2 after structural relaxation, from Alexandria via LeMat-Bulk.

Geometry as extended XYZ:
```
4
Lattice="4.852 0.000 0.000 0.000 4.852 0.000 0.000 0.000 3.345" Properties=species:S:1:pos:R:3 pbc="T T T"
Sr 0.000 0.000 0.000
Zr 2.426 2.426 0.000
Os 0.000 2.426 1.673
Os 2.426 0.000 1.673
```

## Properties
calculated formation energy	56	kJ/mol of atoms
space-group type	P4/mmm, No. 123

***

The following is a PBE-GGA calculation of Na3Pu2VSe6 after structural relaxation, from Alexandria via LeMat-Bulk.

Geometry as extended XYZ:
```
12
Lattice="3.497 -6.063 0.000 3.497 6.063 0.000 -2.347 0.000 6.988" Properties=species:S:1:pos:R:3 pbc="T T T"
Na 0.000 0.000 0.000
Na 3.497 2.058 0.000
Na 3.497 -2.058 0.000
Pu 2.324 4.045 3.494
Pu 2.324 -4.045 3.494
V 2.324 0.000 3.494
Se 1.235 1.892 1.933
Se 0.146 0.000 5.046
Se 1.235 -1.892 1.933
Se 3.412 1.892 5.055
Se 4.501 0.000 1.942
Se 3.412 -1.892 5.055
```

## Properties
formation energy without anion corrections	-117.68	kJ per mole of atoms
space-group type	C2/m, No. 12

***

The following is a PBE-GGA calculation of ZnP2Ru after structural relaxation, from Alexandria via LeMat-Bulk.

Geometry as extended XYZ:
```
4
Lattice="2.930 0.000 0.000 0.000 3.778 0.000 0.000 0.000 5.179" Properties=species:S:1:pos:R:3 pbc="T T T"
Zn 0.000 0.000 0.000
P 0.000 0.000 2.686
P 1.465 1.889 0.798
Ru 1.465 1.889 3.294
```

## Properties
calculated formation energy	7	kJ/mol of atoms
space-group type	Pmm2, No. 25

***

The following is a PBE-GGA calculation of NaEuInPd after structural relaxation, from Alexandria via LeMat-Bulk.

Geometry as extended XYZ:
```
16
Lattice="7.201 0.000 0.000 0.000 7.201 0.000 0.000 0.000 7.201" Properties=species:S:1:pos:R:3 pbc="T T T"
Na 0.000 0.000 0.000
Na 0.000 3.601 3.601
Na 3.601 0.000 3.601
Na 3.601 3.601 0.000
Eu 1.800 1.800 1.800
Eu 1.800 5.401 5.401
Eu 5.401 1.800 5.401
Eu 5.401 5.401 1.800
In 1.800 1.800 5.401
In 1.800 5.401 1.800
In 5.401 1.800 1.800
In 5.401 5.401 5.401
Pd 0.000 0.000 3.601
Pd 0.000 3.601 0.000
Pd 3.601 0.000 0.000
Pd 3.601 3.601 3.601
```

## Properties
calculated formation energy	-32	kJ/mol of atoms
space-group type	F-43m, No. 216

***

The following is a PBE-GGA calculation of Ca2ScCu2 after structural relaxation, from Alexandria via LeMat-Bulk.

Geometry as extended XYZ:
```
10
Lattice="4.475 0.000 0.000 0.000 4.475 0.000 0.000 0.000 12.245" Properties=species:S:1:pos:R:3 pbc="T T T"
Ca 0.000 2.237 3.061
Ca 0.000 2.237 9.184
Ca 2.237 0.000 3.061
Ca 2.237 0.000 9.184
Sc 0.000 0.000 0.000
Sc 2.237 2.237 6.123
Cu 0.000 0.000 4.972
Cu 0.000 0.000 7.273
Cu 2.237 2.237 1.150
Cu 2.237 2.237 11.095
```

## Properties
calculated formation energy	24	kJ/mol of atoms
space-group type	I4/mmm, No. 139

***

| no. | raw total energy (eV per atom) | total magnetization (Bohr magnetons per cell) |
| --- | --- | --- |
| 1 | -4.9445 | 0.00 |
| 2 | -2.7114 | 0.84 |
| 3 | -4.4954 | 0.00 |
| 4 | -3.1962 | 2.97 |
| 5 | -7.7773 | 0.00 |
| 6 | -4.8884 | 3.21 |
| 7 | -4.5033 | 0.96 |
| 8 | -3.7010 | 0.00 |
| 9 | -3.0826 | 0.00 |
| 10 | -5.5161 | 0.00 |
| 11 | -1.8299 | 0.39 |
| 12 | -5.4356 | 0.00 |
| 13 | -7.5916 | 0.00 |
| 14 | -6.4402 | 12.00 |
| 15 | -5.2719 | 0.00 |
| 16 | -5.2119 | 29.43 |
| 17 | -3.4542 | 2.36 |